Record 1
A plane-wave DFT calculation with PBE-GGA was carried out for a relaxed structure of Y2BeZn3Cu12.

Cell lengths 6.2451, 6.2451, 25.2200 Å; angles 90.00, 90.00, 120.00 degrees
With the nearest neighbours (Å) after each atom.
Space group R-3m (No. 166, hexagonal axes)
Unique sites:
Y 0.0000 0.0000 0.1528 [6 per cell]  6 Cu 2.92
Be 0.0000 0.0000 0.5000 [3 per cell]  6 Cu 2.23
Zn 0.0000 0.5000 0.0000 [9 per cell]  6 Cu 2.41-2.56
Cu 0.0573 0.5286 0.1007 [18 per cell]  1 Be 2.23, 2 Cu 2.49
Cu 0.0746 0.5373 0.6153 [18 per cell]  2 Zn 2.41, 4 Cu 2.42-2.49

Values from the calculation:
E_form   0.1138 eV per atom

Record 2
A plane-wave DFT calculation with PBE-GGA was carried out for a relaxed structure of YBeZn6Cu.

Cell lengths 6.6908, 8.1590, 11.0566 Å; angles 90.00, 90.00, 90.00 degrees
With the nearest neighbours (Å) after each atom.
Space group Imma (No. 74)
Unique sites:
Y 0.0000 0.2500 0.1966 [4 per cell]  2 Be 2.98, 10 Zn 3.01-3.23
Be 0.0000 0.0000 0.0000 [4 per cell]  6 Zn 2.24-2.41
Zn 0.0000 0.2500 0.4883 [4 per cell]  8 Zn 2.75-2.82
Zn 0.0000 0.2500 0.9166 [4 per cell]  2 Be 2.24, 2 Cu 2.49
Zn 0.2003 0.0049 0.6211 [16 per cell]  1 Be 2.41, 1 Cu 2.48, 2 Zn 2.68
Cu 0.2500 0.2500 0.7500 [4 per cell]  6 Zn 2.48-2.49

Values from the calculation:
E_form   0.0509 eV per atom

Record 3
A plane-wave DFT calculation with PBE-GGA was carried out for a relaxed structure of YBeZnCu6.

Cell lengths 6.2287, 8.1628, 10.4167 Å; angles 90.00, 90.00, 90.00 degrees
With the nearest neighbours (Å) after each atom.
Space group Imma (No. 74)
Unique sites:
Y 0.0000 0.2500 0.2043 [4 per cell]  10 Cu 2.86-3.04, 2 Be 2.95
Be 0.0000 0.0000 0.0000 [4 per cell]  6 Cu 2.17-2.24
Zn 0.2500 0.2500 0.7500 [4 per cell]  6 Cu 2.43-2.45
Cu 0.0000 0.2500 0.4901 [4 per cell]  8 Cu 2.67-2.72, 1 Y 2.98
Cu 0.0000 0.2500 0.9296 [4 per cell]  2 Be 2.17
Cu 0.1997 0.0040 0.6189 [16 per cell]  1 Be 2.24, 1 Zn 2.45, 2 Cu 2.48-2.49

Values from the calculation:
E_form   0.1147 eV per atom

Record 4
A plane-wave DFT calculation with PBE-GGA was carried out for a relaxed structure of BeZn2Cu.

Cell lengths 2.7464, 2.7464, 6.4377 Å; angles 90.00, 90.00, 90.00 degrees
With the nearest neighbours (Å) after each atom.
Space group P4mm (No. 99)
Unique sites:
Be 0.0000 0.0000 0.0000 [1 per cell]  4 Cu 2.32, 4 Zn 2.47
Zn 0.0000 0.0000 0.4658 [1 per cell]  4 Cu 2.61, 8 Zn 2.73-2.75
Zn 0.5000 0.5000 0.7639 [1 per cell]  4 Be 2.47, 8 Zn 2.73-2.75
Cu 0.5000 0.5000 0.1959 [1 per cell]  4 Be 2.32

Values from the calculation:
E_form   -0.0025 eV per atom

| no. | theoretical density (g/cm³) |
| --- | --- |
| 1 | 6.70 |
| 2 | 6.10 |
| 3 | 6.83 |
| 4 | 6.95 |